(1)
The following is a PBE-GGA calculation of a relaxed BeSb2AsI crystal, from Alexandria.

Unit cell a=5.449 b=5.449 c=5.566 alpha=90.00 beta=90.00 gamma=90.00
Fractional positions:
Be: 0.000 0.000 0.000
Sb: 0.000 0.500 0.500
Sb: 0.500 0.000 0.500
As: 0.500 0.500 0.500
I: 0.500 0.500 0.000

Output
Distance to the lowest polymorph of the same formula ... 496.4 meV per atom
Final energy ... -2.520 eV per atom
ΔE_f (raw) ... 1.1145 eV/atom
Volume ... 165 Å³/f.u.

(2)
The following is a PBE-GGA calculation of a relaxed Cs2LiPtO4 crystal, from Alexandria.

Unit cell a=11.986 b=10.133 c=7.547 alpha=84.01 beta=57.22 gamma=38.77
Fractional positions:
Cs: 0.043 0.043 0.707
Cs: 0.293 0.293 0.957
Cs: 0.707 0.707 0.043
Cs: 0.957 0.957 0.293
Li: 0.125 0.125 0.125
Li: 0.875 0.875 0.875
Pt: 0.375 0.375 0.375
Pt: 0.625 0.625 0.625
O: 0.027 0.699 0.534
O: 0.240 0.534 0.699
O: 0.301 0.973 0.760
O: 0.466 0.760 0.973
O: 0.534 0.240 0.027
O: 0.699 0.027 0.240
O: 0.760 0.466 0.301
O: 0.973 0.301 0.466

Output
Final energy ... -4.734 eV per atom
ΔE_f (raw) ... -1.0474 eV/atom
Volume ... 192 Å³/f.u.

(3)
The following is a PBE-GGA calculation of a relaxed CdIn6Sn crystal, from Alexandria.

Unit cell a=4.725 b=4.725 c=9.523 alpha=90.00 beta=90.00 gamma=90.00
Fractional positions:
Cd: 0.000 0.000 0.000
In: 0.000 0.500 0.245
In: 0.000 0.500 0.755
In: 0.500 0.000 0.245
In: 0.500 0.000 0.755
In: 0.500 0.500 0.000
In: 0.500 0.500 0.500
Sn: 0.000 0.000 0.500

Output
Calculated formation energy ... 0.047 eV/atom
Final energy ... -2.621 eV per atom
Volume ... 213 Å³/f.u.

(4)
The following is a PBE-GGA calculation of a relaxed Si2Ag3 crystal, from Alexandria.

Unit cell a=4.544 b=4.544 c=5.141 alpha=90.00 beta=90.00 gamma=120.00
Fractional positions:
Si: 0.333 0.667 0.366
Si: 0.667 0.333 0.634
Ag: 0.000 0.000 0.500
Ag: 0.333 0.667 0.871
Ag: 0.667 0.333 0.129

Output
Distance to the lowest polymorph of the same formula ... 77.7 meV per atom
Final energy ... -3.559 eV per atom
ΔE_f (raw) ... 0.3210 eV/atom
Volume ... 92 Å³/f.u.

(5)
The following is a PBE-GGA calculation of a relaxed TbHoPu2Sb4 crystal, from Alexandria.

Unit cell a=7.611 b=4.410 c=7.639 alpha=90.00 beta=109.55 gamma=90.00
Fractional positions:
Tb: 0.000 0.000 0.000
Ho: 0.000 0.500 0.500
Pu: 0.500 0.000 0.500
Pu: 0.500 0.500 0.000
Sb: 0.249 0.000 0.749
Sb: 0.250 0.500 0.251
Sb: 0.750 0.500 0.749
Sb: 0.751 0.000 0.251

Output
Final energy ... -7.657 eV per atom
ΔE_f (raw) ... -0.8621 eV/atom
Volume ... 242 Å³/f.u.

(6)
The following is a PBE-GGA calculation of a relaxed LiSiIr4 crystal, from Alexandria.

Unit cell a=5.167 b=5.167 c=5.167 alpha=60.00 beta=60.00 gamma=60.00
Fractional positions:
Li: 0.000 0.000 0.000
Si: 0.750 0.750 0.750
Ir: 0.375 0.375 0.375
Ir: 0.375 0.375 0.875
Ir: 0.375 0.875 0.375
Ir: 0.875 0.375 0.375

Output
Final energy ... -6.764 eV per atom
ΔE_f (raw) ... 0.3656 eV/atom
Volume ... 98 Å³/f.u.

(7)
The following is a PBE-GGA calculation of a relaxed Hf2TiPb crystal, from Alexandria.

Unit cell a=6.329 b=6.329 c=6.329 alpha=102.11 beta=102.11 gamma=125.49
Fractional positions:
Hf: 0.119 0.625 0.994
Hf: 0.375 0.369 0.494
Hf: 0.631 0.125 0.006
Hf: 0.875 0.881 0.506
Ti: 0.000 0.000 0.000
Ti: 0.750 0.250 0.500
Pb: 0.250 0.750 0.500
Pb: 0.500 0.500 0.000

Output
Calculated formation energy ... 0.524 eV/atom
Final energy ... -7.353 eV per atom
Volume ... 92 Å³/f.u.

(8)
The following is a PBE-GGA calculation of a relaxed AgPd3Br8 crystal, from Alexandria.

Unit cell a=9.046 b=9.046 c=7.524 alpha=110.75 beta=110.75 gamma=46.68
Fractional positions:
Ag: 0.000 0.000 0.000
Pd: 0.000 0.500 0.500
Pd: 0.500 0.000 0.500
Pd: 0.500 0.500 0.000
Br: 0.214 0.214 0.682
Br: 0.235 0.235 0.263
Br: 0.240 0.709 0.208
Br: 0.291 0.760 0.792
Br: 0.709 0.240 0.208
Br: 0.760 0.291 0.792
Br: 0.765 0.765 0.737
Br: 0.786 0.786 0.318

Output
Final energy ... -2.926 eV per atom
ΔE_f (raw) ... -0.2749 eV/atom
Volume ... 413 Å³/f.u.

(9)
The following is a PBE-GGA calculation of a relaxed CoHg2As crystal, from Alexandria.

Unit cell a=3.746 b=3.746 c=5.469 alpha=90.00 beta=90.00 gamma=90.00
Fractional positions:
Co: 0.000 0.000 0.000
Hg: 0.500 0.500 0.244
Hg: 0.500 0.500 0.756
As: 0.000 0.000 0.500

Output
Calculated formation energy ... 0.530 eV/atom
Final energy ... -2.560 eV per atom
Volume ... 77 Å³/f.u.

(10)
The following is a PBE-GGA calculation of a relaxed Mg2Ti2Ni15 crystal, from Alexandria.

Unit cell a=6.263 b=6.263 c=6.263 alpha=81.69 beta=81.69 gamma=81.69
Fractional positions:
Mg: 0.145 0.145 0.145
Mg: 0.855 0.855 0.855
Ti: 0.395 0.395 0.395
Ti: 0.605 0.605 0.605
Ni: 0.000 0.500 0.500
Ni: 0.154 0.154 0.658
Ni: 0.154 0.658 0.154
Ni: 0.196 0.500 0.804
Ni: 0.196 0.804 0.500
Ni: 0.342 0.846 0.846
Ni: 0.500 0.000 0.500
Ni: 0.500 0.196 0.804
Ni: 0.500 0.500 0.000
Ni: 0.500 0.804 0.196
Ni: 0.658 0.154 0.154
Ni: 0.804 0.196 0.500
Ni: 0.804 0.500 0.196
Ni: 0.846 0.342 0.846
Ni: 0.846 0.846 0.342

Output
Calculated formation energy ... -0.131 eV/atom
Final energy ... -5.694 eV per atom
Volume ... 239 Å³/f.u.

(11)
The following is a PBE-GGA calculation of a relaxed Sm2Th2C3 crystal, from Alexandria.

Unit cell a=7.025 b=7.025 c=7.025 alpha=109.47 beta=109.47 gamma=109.47
Fractional positions:
Sm: 0.000 0.893 0.500
Sm: 0.500 0.000 0.893
Sm: 0.607 0.607 0.607
Sm: 0.893 0.500 0.000
Th: 0.000 0.401 0.500
Th: 0.099 0.099 0.099
Th: 0.401 0.500 0.000
Th: 0.500 0.000 0.401
C: 0.104 0.750 0.854
C: 0.250 0.646 0.396
C: 0.396 0.250 0.646
C: 0.646 0.396 0.250
C: 0.750 0.854 0.104
C: 0.854 0.104 0.750

Output
Distance to the lowest polymorph of the same formula ... 178.1 meV per atom
Calculated formation energy ... -0.033 eV/atom
Final energy ... -7.455 eV per atom
Volume ... 133 Å³/f.u.

(12)
The following is a PBE-GGA calculation of a relaxed MgMoPd crystal, from Alexandria.

Unit cell a=3.723 b=3.723 c=7.397 alpha=90.00 beta=90.00 gamma=90.00
Fractional positions:
Mg: 0.250 0.250 0.159
Mg: 0.750 0.750 0.841
Mo: 0.250 0.750 0.500
Mo: 0.750 0.250 0.500
Pd: 0.250 0.250 0.792
Pd: 0.750 0.750 0.208

Output
Distance to the lowest polymorph of the same formula ... 137.7 meV per atom
Calculated formation energy ... -0.070 eV/atom
Final energy ... -5.943 eV per atom
Volume ... 51 Å³/f.u.